Entry from Alexandria via LeMat-Bulk: Ta2CdPt after structural relaxation (PBE).

Summary:
Calculated volume in Å³/atom: 17.95
Calculated density in g cm⁻³: 15.482
ΔE_f in meV/atom: -28
M_tot in μB per formula unit: 0.00

Cell lengths 10.063, 2.898, 5.027 Å; angles 90.00, 101.62, 90.00 degrees
Fractional coordinates of all 8 atoms:
Ta 0.240 0.000 0.237
Ta 0.260 0.500 0.763
Ta 0.740 0.500 0.237
Ta 0.760 0.000 0.763
Cd 0.000 0.000 0.500
Cd 0.500 0.500 0.500
Pt 0.000 0.500 0.000
Pt 0.500 0.000 0.000